Material: NbGaPbO6
Method: DFT, PBE
State: optimized geometry

abc: 4.685 5.237 5.237
angles: 120.00 90.00 90.00
Element x y z (fractional)
O1 0.731 0.687 0.668
O2 0.269 0.981 0.668
Nb1 0.500 0.667 0.333
Ga1 0.500 0.000 0.000
O3 0.731 0.332 0.019
Pb1 0.000 0.333 0.667
O4 0.269 0.332 0.313
O5 0.269 0.687 0.019
O6 0.731 0.981 0.313

Properties
Total DFT energy (no corrections) in eV per atom: -6.8792
E_form (uncorrected) in eV/atom: -1.71

Material: Y4GaGeN
Method: DFT, PBE
State: optimized geometry

abc: 6.528 6.526 8.361
angles: 90.00 112.98 90.00
Element x y z (fractional)
Ge1 0.888 0.750 0.775
Ge2 0.112 0.250 0.225
Y1 0.081 0.750 0.163
Ga1 0.613 0.750 0.227
Y2 0.581 0.250 0.162
Ga2 0.387 0.250 0.773
Y3 0.919 0.250 0.837
N1 0.249 0.750 0.498
Y4 0.000 0.000 0.500
Y5 0.500 0.000 0.500
Y6 0.419 0.750 0.838
Y7 0.000 0.500 0.500
Y8 0.500 0.500 0.500
N2 0.751 0.250 0.502

Properties
Total DFT energy (no corrections) in eV per atom: -6.9018
N(E_F) in states/eV/cell: 3.2
E_form (uncorrected) in eV/atom: -0.93

Material: CrIn2Os
Method: DFT, PBE
State: optimized geometry

abc: 5.505 5.505 4.816
angles: 69.05 69.05 31.75
Element x y z (fractional)
In1 0.771 0.771 0.685
In2 0.981 0.981 0.061
Os1 0.528 0.528 0.534
Cr1 0.220 0.220 0.220

Properties
Distance to the lowest polymorph of the same formula in eV/f.u.: 0.64
Energy relative to the elements in eV/atom: 0.41
Total DFT energy (no corrections) in eV per atom: -6.1755
N(E_F) in states/eV/cell: 2.3

Material: Tb2YCd4
Method: DFT, PBE
State: optimized geometry

abc: 5.353 5.353 7.849
angles: 109.94 109.94 90.00
Element x y z (fractional)
Y1 0.000 0.000 0.000
Cd1 0.115 0.615 0.229
Cd2 0.885 0.385 0.771
Cd3 0.385 0.885 0.771
Cd4 0.615 0.115 0.229
Tb1 0.261 0.261 0.522
Tb2 0.739 0.739 0.478

Properties
Distance to the lowest polymorph of the same formula in eV/f.u.: 0.00
Energy relative to the elements in eV/atom: -0.16
Total DFT energy (no corrections) in eV per atom: -2.9331
N(E_F) in states/eV/cell: 5.4

Material: LiLa2Br2
Method: DFT, PBE
State: optimized geometry

abc: 8.923 8.923 3.654
angles: 90.00 90.00 90.00
Element x y z (fractional)
Li1 0.500 0.500 0.000
Br1 0.871 0.371 0.500
Br2 0.629 0.871 0.500
La1 0.667 0.167 0.000
Li2 0.000 0.000 0.000
Br3 0.371 0.129 0.500
La2 0.333 0.833 0.000
La3 0.167 0.333 0.000
Br4 0.129 0.629 0.500
La4 0.833 0.667 0.000

Properties
Distance to the lowest polymorph of the same formula in eV/f.u.: 0.15
Total DFT energy (no corrections) in eV per atom: -3.7484
N(E_F) in states/eV/cell: 10.1
E_form (uncorrected) in eV/atom: -0.73

Material: PmDyHo2S6
Method: DFT, PBE
State: optimized geometry

abc: 6.952 6.951 7.367
angles: 61.84 61.84 59.99
Element x y z (fractional)
S1 0.617 0.223 0.248
S2 0.223 0.913 0.247
Ho1 0.015 0.015 0.956
S3 0.400 0.721 0.749
S4 0.721 0.129 0.749
S5 0.129 0.401 0.749
Dy1 0.315 0.315 0.054
S6 0.913 0.617 0.248
Ho2 0.517 0.517 0.449
Pm1 0.811 0.811 0.566

Properties
Total DFT energy (no corrections) in eV per atom: -6.3796
N(E_F) in states/eV/cell: 0.0
E_form (uncorrected) in eV/atom: -2.05

Material: Ac3La2DyTe6
Method: DFT, PBE
State: optimized geometry

abc: 4.582 9.326 10.352
angles: 103.68 102.79 90.00
Element x y z (fractional)
Te1 0.658 0.085 0.316
Te2 0.000 0.232 0.000
Te3 0.342 0.915 0.684
Ac1 0.170 0.835 0.341
Te4 0.331 0.422 0.663
Te5 0.669 0.578 0.337
Te6 0.000 0.768 0.000
Ac2 0.500 0.500 0.000
Dy1 0.500 0.000 0.000
La1 0.167 0.333 0.333
Ac3 0.830 0.165 0.659
La2 0.833 0.667 0.667

Properties
Total DFT energy (no corrections) in eV per atom: -5.2871
N(E_F) in states/eV/cell: 7.2
E_form (uncorrected) in eV/atom: -1.48

Material: LiAcInGa
Method: DFT, PBE
State: optimized geometry

abc: 4.614 4.613 6.157
angles: 112.10 90.00 120.00
Element x y z (fractional)
Ac1 0.620 0.240 0.502
In1 0.127 0.254 0.023
Li1 0.819 0.639 0.100
Ga1 0.400 0.800 0.843

Properties
Distance to the lowest polymorph of the same formula in eV/f.u.: 0.00
Energy relative to the elements in eV/atom: -0.39
Total DFT energy (no corrections) in eV per atom: -3.3341
N(E_F) in states/eV/cell: 1.3

Repeat the fourth record exactly.
Material: Tb2YCd4
Method: DFT, PBE
State: optimized geometry

abc: 5.353 5.353 7.849
angles: 109.94 109.94 90.00
Element x y z (fractional)
Y1 0.000 0.000 0.000
Cd1 0.115 0.615 0.229
Cd2 0.885 0.385 0.771
Cd3 0.385 0.885 0.771
Cd4 0.615 0.115 0.229
Tb1 0.261 0.261 0.522
Tb2 0.739 0.739 0.478

Properties
Distance to the lowest polymorph of the same formula in eV/f.u.: 0.00
Energy relative to the elements in eV/atom: -0.16
Total DFT energy (no corrections) in eV per atom: -2.9331
N(E_F) in states/eV/cell: 5.4